# Pm8ZnGe2 | Alexandria via LeMat-Bulk | PBE | relaxed
data_Pm8ZnGe2
_chemical_formula_sum 'Pm8 Zn1 Ge2'
_space_group_name_H-M_alt 'P 1'
_space_group_IT_number 1
_space_group_name_Hall 'P 1'
_cell_length_a 4.970
_cell_length_b 6.866
_cell_length_c 9.906
_cell_angle_alpha 102.95
_cell_angle_beta 104.53
_cell_angle_gamma 90.00
loop_
_atom_site_label
_atom_site_fract_x
_atom_site_fract_y
_atom_site_fract_z
Ge1 0.817 0.244 0.635
Ge2 0.183 0.756 0.365
Pm1 0.789 0.669 0.577
Pm2 0.023 0.777 0.046
Pm3 0.661 0.996 0.322
Pm4 0.211 0.331 0.423
Pm5 0.407 0.522 0.814
Pm6 0.977 0.223 0.954
Pm7 0.593 0.478 0.186
Pm8 0.339 0.004 0.678
Zn1 0.500 0.000 0.000
# * total energy: -52.1 eV per cell

---

# P2Pt | Alexandria via LeMat-Bulk | PBE | relaxed
data_P2Pt
_chemical_formula_sum 'P4 Pt2'
_space_group_name_H-M_alt 'P 1'
_space_group_IT_number 1
_space_group_name_Hall 'P 1'
_cell_length_a 5.033
_cell_length_b 5.033
_cell_length_c 5.033
_cell_angle_alpha 60.00
_cell_angle_beta 60.00
_cell_angle_gamma 60.00
loop_
_atom_site_label
_atom_site_fract_x
_atom_site_fract_y
_atom_site_fract_z
Pt1 0.750 0.750 0.750
Pt2 0.500 0.500 0.500
P1 0.125 0.125 0.625
P2 0.625 0.125 0.125
P3 0.125 0.125 0.125
P4 0.125 0.625 0.125
# * total energy: -29.4 eV per cell

---

# TbCd2In | Alexandria via LeMat-Bulk | PBE | relaxed
data_TbCd2In
_chemical_formula_sum 'Tb1 Cd2 In1'
_space_group_name_H-M_alt 'P 1'
_space_group_IT_number 1
_space_group_name_Hall 'P 1'
_cell_length_a 3.719
_cell_length_b 3.719
_cell_length_c 7.297
_cell_angle_alpha 90.00
_cell_angle_beta 90.00
_cell_angle_gamma 90.00
loop_
_atom_site_label
_atom_site_fract_x
_atom_site_fract_y
_atom_site_fract_z
Cd1 0.000 0.000 0.737
Cd2 0.000 0.000 0.263
In1 0.500 0.500 0.500
Tb1 0.500 0.500 0.000
# * total energy: -9.9 eV per cell
# * relative energy among the computed polymorphs: 0.60 eV per formula unit